(one)
Here is a relaxed structure of LiLa4Rh from the Alexandria database. Energies are from GGA-PBE.

## Properties
Spin magnetization, Bohr magnetons per cell: 0.00
Fermi-level density of states, states/eV per atom: 1.15

The structure in CIF format:
```
data_LiLa4Rh
_chemical_formula_sum 'Li4 La16 Rh4'
_cell_length_a 7.714
_cell_length_b 16.633
_cell_length_c 6.634
_cell_angle_alpha 90.00
_cell_angle_beta 115.81
_cell_angle_gamma 90.00
_symmetry_space_group_name_H-M 'C 1 2/c 1'
_symmetry_Int_Tables_number 15
_symmetry_space_group_name_Hall '-C 2yc'
loop_
_atom_site_label
_atom_site_type_symbol
_atom_site_fract_x
_atom_site_fract_y
_atom_site_fract_z
_atom_site_occupancy
Li1 Li 0.000 0.087 0.250 1
La1 La 0.198 0.283 0.706 1
La2 La 0.217 0.429 0.201 1
Rh1 Rh 0.000 0.429 0.750 1
```

---

(two)
Here is a relaxed structure of LiLa4Rh from the Alexandria database. Energies are from GGA-PBE.

## Properties
Spin magnetization, Bohr magnetons per cell: 0.02
Fermi-level density of states, states/eV per atom: 1.88

The structure in CIF format:
```
data_LiLa4Rh
_chemical_formula_sum 'Li4 La16 Rh4'
_cell_length_a 8.989
_cell_length_b 8.989
_cell_length_c 8.989
_cell_angle_alpha 90.00
_cell_angle_beta 90.00
_cell_angle_gamma 90.00
_symmetry_space_group_name_H-M 'F -4 3 m'
_symmetry_Int_Tables_number 216
_symmetry_space_group_name_Hall 'F -4 2 3'
loop_
_atom_site_label
_atom_site_type_symbol
_atom_site_fract_x
_atom_site_fract_y
_atom_site_fract_z
_atom_site_occupancy
Li1 Li 0.000 0.000 0.000 1
La1 La 0.122 0.122 0.378 1
Rh1 Rh 0.250 0.250 0.750 1
```

---

(three)
Here is a relaxed structure of LiLa4Rh from the Alexandria database. Energies are from GGA-PBE.

## Properties
Spin magnetization, Bohr magnetons per cell: 0.00
Fermi-level density of states, states/eV per atom: 1.19

The structure in CIF format:
```
data_LiLa4Rh
_chemical_formula_sum 'Li16 La64 Rh16'
_cell_length_a 14.364
_cell_length_b 14.364
_cell_length_c 14.364
_cell_angle_alpha 90.00
_cell_angle_beta 90.00
_cell_angle_gamma 90.00
_symmetry_space_group_name_H-M 'F -4 3 m'
_symmetry_Int_Tables_number 216
_symmetry_space_group_name_Hall 'F -4 2 3'
loop_
_atom_site_label
_atom_site_type_symbol
_atom_site_fract_x
_atom_site_fract_y
_atom_site_fract_z
_atom_site_occupancy
Li1 Li 0.078 0.078 0.422 1
La1 La 0.000 0.000 0.187 1
La2 La 0.062 0.250 0.250 1
La3 La 0.154 0.154 0.654 1
Rh1 Rh 0.141 0.141 0.859 1
```

---

It is (three) that is the most stable of them.